Entry 1:
# Ac5Tb2Sn5 PBE-GGA relaxed
data_Ac5Tb2Sn5
_symmetry_space_group_name_H-M 'C 1 2/m 1'
_symmetry_Int_Tables_number 12
_symmetry_space_group_name_Hall '-C 2y'
_cell_length_a 15.6380
_cell_length_b 4.7067
_cell_length_c 13.3992
_cell_angle_alpha 90.00
_cell_angle_beta 109.62
_cell_angle_gamma 90.00
loop_
_atom_site_label
_atom_site_type_symbol
_atom_site_fract_x
_atom_site_fract_y
_atom_site_fract_z
Ac1 Ac 0.0000 0.0000 0.0000
Ac2 Ac 0.1612 0.0000 0.5442
Ac3 Ac 0.2365 0.0000 0.8501
Tb1 Tb 0.0478 0.5000 0.2924
Sn1 Sn 0.0000 0.5000 0.5000
Sn2 Sn 0.1108 0.5000 0.9129
Sn3 Sn 0.1806 0.0000 0.2913
# **Fermi-level density of states**: 0.564 states/eV per atom


Entry 2:
# Ac2TbSn5 PBE-GGA relaxed
data_Ac2TbSn5
_symmetry_space_group_name_H-M 'I 4 m m'
_symmetry_Int_Tables_number 107
_symmetry_space_group_name_Hall 'I 4 -2'
_cell_length_a 7.4767
_cell_length_b 7.4767
_cell_length_c 8.6476
_cell_angle_alpha 90.00
_cell_angle_beta 90.00
_cell_angle_gamma 90.00
loop_
_atom_site_label
_atom_site_type_symbol
_atom_site_fract_x
_atom_site_fract_y
_atom_site_fract_z
Ac1 Ac 0.0000 0.5000 0.0000
Tb1 Tb 0.0000 0.0000 0.1068
Sn1 Sn 0.0000 0.0000 0.4945
Sn2 Sn 0.2127 0.2127 0.7571
# **Fermi-level density of states**: 0.434 states/eV per atom


Entry 3:
# Ac3TbSn12 PBE-GGA relaxed
data_Ac3TbSn12
_symmetry_space_group_name_H-M 'P 4/m m m'
_symmetry_Int_Tables_number 123
_symmetry_space_group_name_Hall '-P 4 2'
_cell_length_a 4.8845
_cell_length_b 4.8845
_cell_length_c 19.3537
_cell_angle_alpha 90.00
_cell_angle_beta 90.00
_cell_angle_gamma 90.00
loop_
_atom_site_label
_atom_site_type_symbol
_atom_site_fract_x
_atom_site_fract_y
_atom_site_fract_z
Ac1 Ac 0.0000 0.0000 0.0000
Ac2 Ac 0.0000 0.0000 0.2565
Tb1 Tb 0.0000 0.0000 0.5000
Sn1 Sn 0.0000 0.5000 0.1286
Sn2 Sn 0.0000 0.5000 0.3843
Sn3 Sn 0.5000 0.5000 0.0000
Sn4 Sn 0.5000 0.5000 0.2573
Sn5 Sn 0.5000 0.5000 0.5000
# **Fermi-level density of states**: 0.508 states/eV per atom


Entry 4:
# AcTbTlSn PBE-GGA relaxed
data_AcTbTlSn
_symmetry_space_group_name_H-M 'F -4 3 m'
_symmetry_Int_Tables_number 216
_symmetry_space_group_name_Hall 'F -4 2 3'
_cell_length_a 7.9304
_cell_length_b 7.9304
_cell_length_c 7.9304
_cell_angle_alpha 90.00
_cell_angle_beta 90.00
_cell_angle_gamma 90.00
loop_
_atom_site_label
_atom_site_type_symbol
_atom_site_fract_x
_atom_site_fract_y
_atom_site_fract_z
Ac1 Ac 0.0000 0.0000 0.0000
Tb1 Tb 0.0000 0.0000 0.5000
Tl1 Tl 0.2500 0.2500 0.2500
Sn1 Sn 0.2500 0.2500 0.7500
# **Fermi-level density of states**: 0.760 states/eV per atom


Entry 5:
# AcTbTmSn PBE-GGA relaxed
data_AcTbTmSn
_symmetry_space_group_name_H-M 'F -4 3 m'
_symmetry_Int_Tables_number 216
_symmetry_space_group_name_Hall 'F -4 2 3'
_cell_length_a 7.8274
_cell_length_b 7.8274
_cell_length_c 7.8274
_cell_angle_alpha 90.00
_cell_angle_beta 90.00
_cell_angle_gamma 90.00
loop_
_atom_site_label
_atom_site_type_symbol
_atom_site_fract_x
_atom_site_fract_y
_atom_site_fract_z
Ac1 Ac 0.0000 0.0000 0.0000
Tb1 Tb 0.2500 0.2500 0.2500
Tm1 Tm 0.2500 0.2500 0.7500
Sn1 Sn 0.0000 0.0000 0.5000
# **Fermi-level density of states**: 1.614 states/eV per atom


Entry 6:
# AcTbYSn PBE-GGA relaxed
data_AcTbYSn
_symmetry_space_group_name_H-M 'F -4 3 m'
_symmetry_Int_Tables_number 216
_symmetry_space_group_name_Hall 'F -4 2 3'
_cell_length_a 7.8703
_cell_length_b 7.8703
_cell_length_c 7.8703
_cell_angle_alpha 90.00
_cell_angle_beta 90.00
_cell_angle_gamma 90.00
loop_
_atom_site_label
_atom_site_type_symbol
_atom_site_fract_x
_atom_site_fract_y
_atom_site_fract_z
Ac1 Ac 0.0000 0.0000 0.0000
Tb1 Tb 0.2500 0.2500 0.2500
Y1 Y 0.2500 0.2500 0.7500
Sn1 Sn 0.0000 0.0000 0.5000
# **Fermi-level density of states**: 1.638 states/eV per atom


Short version: electronic total energy = -4.6902, -4.6746, -4.5536, -4.2215, -4.4468, -4.9771 eV/atom, in the order given.
Short version: ΔE_f = -0.5388, -0.5669, -0.4917, -0.4445, -0.1436, -0.1757 eV per atom, in the order given.